An optimized crystal structure of CaZrTl. Source: Alexandria via LeMat-Bulk, functional GGA-PBE.

Unit cell a=5.064 b=5.064 c=5.064 alpha=60.00 beta=60.00 gamma=60.00
Fractional positions:
1 Tl 0.750 0.750 0.750
2 Ca 0.500 0.500 0.500
3 Zr 0.000 0.000 0.000

Computed properties:
Symmetry = F-43m (216)
Formation energy = 0.300 eV per atom
Total magnetization = 0.54 μB/f.u.
V = 91.8 Å³/cell
DOS at the Fermi energy = 3.9 states/eV/cell